DFT (PBE-GGA) results for HfTi4Ir5 after structural relaxation.

Cell lengths 2.9559, 2.9559, 17.7953 Å; angles 90.00, 90.00, 90.00 degrees
Element x y z (fractional)
Hf1 0.0000 0.0000 0.0000
Ti1 0.0000 0.0000 0.2055
Ti2 0.0000 0.0000 0.4015
Ti3 0.0000 0.0000 0.5985
Ti4 0.0000 0.0000 0.7945
Ir1 0.5000 0.5000 0.1124
Ir2 0.5000 0.5000 0.3019
Ir3 0.5000 0.5000 0.5000
Ir4 0.5000 0.5000 0.6981
Ir5 0.5000 0.5000 0.8876

Properties
As for the total DFT energy (no corrections): -9.439 eV per atom. As for the density of states at the Fermi level: 7.45 states/eV/cell. The calculation puts the calculated volume at 15.548 Å³ per atom. Its formation energy is -856 meV per atom. As for the theoretical density: 14215 kg/m3. Its spin magnetization is 0.00 μB/cell.